*one*
Here is a relaxed structure of AlTc2Pt from the Alexandria database. Energies are from GGA-PBE.

Computed properties:
* V: 14.8 Å³ per atom

Unit cell a=6.190 b=6.190 c=6.190 alpha=90.00 beta=90.00 gamma=90.00
Element x y z (fractional)
Al1 0.000 0.000 0.000
Al2 0.000 0.500 0.500
Al3 0.500 0.000 0.500
Al4 0.500 0.500 0.000
Tc1 0.000 0.000 0.500
Tc2 0.000 0.500 0.000
Tc3 0.250 0.250 0.250
Tc4 0.250 0.750 0.750
Tc5 0.500 0.000 0.000
Tc6 0.500 0.500 0.500
Tc7 0.750 0.250 0.750
Tc8 0.750 0.750 0.250
Pt1 0.250 0.250 0.750
Pt2 0.250 0.750 0.250
Pt3 0.750 0.250 0.250
Pt4 0.750 0.750 0.750

*two*
Here is a relaxed structure of AlTc2Pt from the Alexandria database. Energies are from GGA-PBE.

Computed properties:
* V: 14.9 Å³ per atom

Unit cell a=2.809 b=3.772 c=5.619 alpha=90.00 beta=90.00 gamma=90.00
Element x y z (fractional)
Al1 0.000 0.000 0.000
Tc1 0.000 0.000 0.521
Tc2 0.500 0.500 0.718
Pt1 0.500 0.500 0.212

*three*
Here is a relaxed structure of AlTc2Pt from the Alexandria database. Energies are from GGA-PBE.

Computed properties:
* V: 14.6 Å³ per atom

Unit cell a=2.870 b=2.870 c=7.111 alpha=90.00 beta=90.00 gamma=90.00
Element x y z (fractional)
Al1 0.000 0.000 0.000
Tc1 0.000 0.000 0.526
Tc2 0.500 0.500 0.757
Pt1 0.500 0.500 0.234

*four*
Here is a relaxed structure of AlTc2Pt from the Alexandria database. Energies are from GGA-PBE.

Computed properties:
* V: 14.8 Å³ per atom

Unit cell a=2.771 b=2.771 c=26.677 alpha=90.00 beta=90.00 gamma=120.00
Element x y z (fractional)
Al1 0.000 0.000 0.000
Al2 0.333 0.667 0.667
Al3 0.667 0.333 0.333
Tc1 0.000 0.000 0.252
Tc2 0.000 0.000 0.748
Tc3 0.333 0.667 0.415
Tc4 0.333 0.667 0.918
Tc5 0.667 0.333 0.082
Tc6 0.667 0.333 0.585
Pt1 0.000 0.000 0.500
Pt2 0.333 0.667 0.167
Pt3 0.667 0.333 0.833

Result of the stability comparison: *three* is the most stable of them.

*one*
Here is a relaxed structure of AlTcPt from the Alexandria database. Energies are from GGA-PBE.

Computed properties:
* V: 14.7 Å³ per atom

Unit cell a=2.761 b=2.761 c=11.545 alpha=90.00 beta=90.00 gamma=90.00
Element x y z (fractional)
Al1 0.000 0.000 0.000
Al2 0.500 0.500 0.500
Tc1 0.000 0.000 0.665
Tc2 0.500 0.500 0.165
Pt1 0.000 0.000 0.337
Pt2 0.500 0.500 0.837

*two*
Here is a relaxed structure of AlTcPt from the Alexandria database. Energies are from GGA-PBE.

Computed properties:
* V: 14.8 Å³ per atom

Unit cell a=2.806 b=2.806 c=6.504 alpha=90.00 beta=90.00 gamma=120.00
Element x y z (fractional)
Al1 0.000 0.000 0.000
Tc1 0.333 0.667 0.671
Pt1 0.667 0.333 0.322

Result of the stability comparison: *one* is the most stable of them.

*one*
Here is a relaxed structure of AlTcPt from the Alexandria database. Energies are from GGA-PBE.

Computed properties:
* V: 17.9 Å³ per atom

Unit cell a=5.990 b=5.990 c=5.990 alpha=90.00 beta=90.00 gamma=90.00
Element x y z (fractional)
Al1 0.000 0.000 0.000
Al2 0.000 0.500 0.500
Al3 0.500 0.000 0.500
Al4 0.500 0.500 0.000
Tc1 0.000 0.000 0.500
Tc2 0.000 0.500 0.000
Tc3 0.500 0.000 0.000
Tc4 0.500 0.500 0.500
Pt1 0.250 0.250 0.250
Pt2 0.250 0.750 0.750
Pt3 0.750 0.250 0.750
Pt4 0.750 0.750 0.250

*two*
Here is a relaxed structure of AlTcPt from the Alexandria database. Energies are from GGA-PBE.

Computed properties:
* V: 14.9 Å³ per atom

Unit cell a=4.342 b=4.342 c=2.743 alpha=90.00 beta=90.00 gamma=120.00
Element x y z (fractional)
Al1 0.000 0.000 0.000
Tc1 0.333 0.667 0.500
Pt1 0.667 0.333 0.000

Result of the stability comparison: *two* is the most stable of them.